1.
The following is a PBE calculation of crystalline Ce2AlNi4Ge3 at its relaxed geometry, from the Alexandria database.

abc: 4.103 4.103 9.818
angles: 90.00 90.00 90.00
Atoms (fractional coordinates):
Ge (0.500, 0.000, 0.872)
Ge (0.000, 0.000, 0.500)
Ge (0.000, 0.500, 0.128)
Al (0.500, 0.500, 0.500)
Ni (0.000, 0.500, 0.368)
Ni (0.500, 0.000, 0.632)
Ni (0.500, 0.500, 0.000)
Ni (0.000, 0.000, 0.000)
Ce (0.500, 0.000, 0.243)
Ce (0.000, 0.500, 0.757)

Properties
As for the space-group type: P-4m2 (115). Its calculated density is 7.6 Mg/m³. Its calculated formation energy is -665 kJ/mol of formula units. Its crystal system is tetragonal. As for the total energy: -5.948 eV/atom.

***

2.
The following is a PBE calculation of crystalline CeAlGeO at its relaxed geometry, from the Alexandria database.

abc: 4.069 4.069 8.863
angles: 90.00 90.00 90.00
Atoms (fractional coordinates):
O (0.000, 0.000, 0.500)
O (0.500, 0.500, 0.500)
Ce (0.500, 0.000, 0.635)
Ce (0.000, 0.500, 0.365)
Al (0.000, 0.000, 0.000)
Al (0.500, 0.500, 0.000)
Ge (0.500, 0.000, 0.181)
Ge (0.000, 0.500, 0.819)

Properties
As for the space-group type: P4/nmm (129). Its calculated density is 5.8 Mg/m³. Its crystal system is tetragonal. The raw formation energy is -1638 meV per atom. As for the total energy: -6.451 eV/atom.